(1)
meta-GGA SCAN Ca3Mg3Zn, PBEsol geometry; space-group type = P6_3/mmc; total DFT energy (no corrections) = -0.3039 Ha/atom; energy of formation = -66.8 meV/atom
1.0
9.7245 0.0000 0.0000
-4.8623 8.4217 0.0000
0.0000 0.0000 4.7920
Ca Mg Zn
6 6 2
Cartesian
0.0000 2.6599 1.1980 Ca
-2.5587 7.0917 1.1980 Ca
2.3036 1.3300 3.5940 Ca
2.5587 7.0917 1.1980 Ca
7.4209 1.3300 3.5940 Ca
4.8623 5.7617 3.5940 Ca
-1.5395 4.7256 3.5940 Mg
1.5395 4.7256 3.5940 Mg
0.0000 7.3921 3.5940 Mg
4.8622 1.0296 1.1980 Mg
3.3228 3.6960 1.1980 Mg
6.4017 3.6960 1.1980 Mg
0.0000 5.6145 1.1980 Zn
4.8623 2.8072 3.5940 Zn


(2)
meta-GGA SCAN CaMg8Zn4, PBEsol geometry; space-group type = I4/mmm; total DFT energy (no corrections) = -0.2983 Ha/atom; energy of formation = -153.5 meV/atom
1.0
-4.8747 4.8747 2.7377
4.8747 -4.8747 2.7377
4.8747 4.8747 -2.7377
Ca Mg Zn
1 8 4
Cartesian
0.0000 0.0000 0.0000 Ca
3.3836 0.0000 0.0000 Mg
6.3659 0.0000 0.0000 Mg
4.8747 2.7765 0.0000 Mg
0.0000 3.3836 0.0000 Mg
2.7765 4.8747 0.0000 Mg
2.0983 0.0000 2.7377 Mg
0.0000 6.3659 0.0000 Mg
0.0000 2.0983 2.7377 Mg
2.4374 2.4374 -1.3689 Zn
2.4374 -2.4374 1.3689 Zn
-2.4374 2.4374 1.3689 Zn
2.4374 2.4374 1.3689 Zn


(3)
meta-GGA SCAN Ca4MgZn2, PBEsol geometry; space-group type = R-3m; total DFT energy (no corrections) = -0.3754 Ha/atom; energy of formation = -120.5 meV/atom
1.0
2.6330 1.5202 8.2443
-2.6330 1.5202 8.2443
0.0000 -3.0403 8.2443
Ca Mg Zn
4 1 2
Cartesian
0.0000 0.0000 2.8530 Ca
0.0000 0.0000 9.1334 Ca
0.0000 0.0000 15.5994 Ca
0.0000 0.0000 21.8798 Ca
0.0000 0.0000 12.3664 Mg
0.0000 0.0000 5.9818 Zn
0.0000 0.0000 18.7510 Zn


(4)
meta-GGA SCAN Ca2MgZn, PBEsol geometry; space-group type = Imm2; total DFT energy (no corrections) = -0.3524 Ha/atom; energy of formation = -134.5 meV/atom
1.0
-1.8256 2.7054 5.4837
1.8256 -2.7054 5.4837
1.8256 2.7054 -5.4837
Ca Mg Zn
2 1 1
Cartesian
0.0000 0.0000 0.0000 Ca
0.0000 2.7054 2.2111 Ca
1.8256 0.0000 3.1248 Mg
0.0000 0.0000 5.2063 Zn


(5)
meta-GGA SCAN CaMgZn, PBEsol geometry; space-group type = P4/nmm; total DFT energy (no corrections) = -0.3536 Ha/atom; energy of formation = -237.8 meV/atom
1.0
4.3617 0.0000 0.0000
0.0000 4.3617 0.0000
0.0000 0.0000 7.6477
Ca Mg Zn
2 2 2
Cartesian
1.0904 1.0904 1.1400 Ca
3.2712 3.2712 6.5077 Ca
1.0904 3.2712 3.8239 Mg
3.2712 1.0904 3.8239 Mg
1.0904 1.0904 5.6249 Zn
3.2712 3.2712 2.0228 Zn


(6)
meta-GGA SCAN CaMgZn, PBEsol geometry; space-group type = Pnma; total DFT energy (no corrections) = -0.3517 Ha/atom; energy of formation = -186.0 meV/atom
1.0
6.1889 0.0000 0.0000
0.0000 4.9889 0.0000
0.0000 0.0000 9.0480
Ca Mg Zn
4 4 4
Cartesian
1.1473 1.2472 0.7013 Ca
1.9472 3.7416 5.2253 Ca
4.2417 1.2472 3.8227 Ca
5.0416 3.7416 8.3467 Ca
0.1478 1.2472 6.4528 Mg
2.9467 3.7416 1.9288 Mg
3.2422 1.2472 7.1192 Mg
6.0411 3.7416 2.5952 Mg
1.1328 1.2472 3.6973 Zn
1.9617 3.7416 8.2213 Zn
4.2272 1.2472 0.8267 Zn
5.0561 3.7416 5.3507 Zn


- Which of these has the highest total DFT energy (no corrections)?
  CaMg8Zn4